Material: TlCdAsSe2
Method: DFT, PBE
State: relaxed

Spin magnetization ... 1.14 Bohr magnetons per cell
Energy above the lowest structure with this stoichiometry ... 0.000 eV/atom
Symmetry ... P4/mmm (123)
Formation energy (no corrections) ... 0.38 eV per atom

Cell lengths 5.3877, 5.3877, 5.2179 Å; angles 90.00, 90.00, 90.00 degrees
With the nearest neighbours (Å) after each atom.
Positions (direct):
1 Se 0.0000 0.5000 0.0000  2 Cd 2.69
2 Se 0.5000 0.0000 0.0000  2 Cd 2.69
3 Cd 0.0000 0.0000 0.0000  2 As 2.61, 4 Se 2.69
4 Tl 0.5000 0.5000 0.5000  8 Se 3.75, 4 As 3.81
5 As 0.0000 0.0000 0.5000  2 Cd 2.61

***

Material: Zr3TiHg4
Method: DFT, PBE
State: relaxed

Energy relative to the elements ... -0.124 eV/atom
Spin magnetization ... 1.06 Bohr magnetons per cell
Symmetry ... P4/mmm (123)

Cell lengths 3.1717, 3.1717, 16.6645 Å; angles 90.00, 90.00, 90.00 degrees
With the nearest neighbours (Å) after each atom.
Positions (direct):
1 Zr 0.5000 0.5000 0.5000  8 Hg 3.10, 4 Zr 3.17
2 Zr 0.5000 0.5000 0.7557  8 Hg 3.09-3.10, 4 Zr 3.17
3 Zr 0.5000 0.5000 0.2443  8 Hg 3.09-3.10, 4 Zr 3.17
4 Ti 0.5000 0.5000 0.0000  8 Hg 2.96, 4 Ti 3.17
5 Hg 0.0000 0.0000 0.1159  4 Ti 2.96, 4 Zr 3.10, 4 Hg 3.17
6 Hg 0.0000 0.0000 0.6280  8 Zr 3.09-3.10, 4 Hg 3.17
7 Hg 0.0000 0.0000 0.3720  8 Zr 3.09-3.10, 4 Hg 3.17
8 Hg 0.0000 0.0000 0.8841  4 Ti 2.96, 4 Zr 3.10, 4 Hg 3.17

***

Material: Be3CuB
Method: DFT, PBE
State: relaxed

Energy relative to the elements ... 0.274 eV/atom
Spin magnetization ... 0.00 Bohr magnetons per cell
Energy above the lowest structure with this stoichiometry ... 0.000 eV/atom
Symmetry ... Pm-3m (221)

Cell lengths 3.6268, 3.6268, 3.6268 Å; angles 90.00, 90.00, 90.00 degrees
With the nearest neighbours (Å) after each atom.
Positions (direct):
1 Be 0.5000 0.0000 0.0000  2 B 1.81
2 Be 0.0000 0.0000 0.5000  2 B 1.81
3 Be 0.0000 0.5000 0.0000  2 B 1.81
4 Cu 0.5000 0.5000 0.5000  12 Be 2.56
5 B 0.0000 0.0000 0.0000  6 Be 1.81

***

Material: B2C
Method: DFT, PBE
State: relaxed

Energy relative to the elements ... 0.458 eV/atom
Spin magnetization ... 0.00 Bohr magnetons per cell
Energy above the lowest structure with this stoichiometry ... 0.273 eV/atom
Symmetry ... Amm2 (38)

Cell lengths 2.6806, 2.7898, 5.7913 Å; angles 90.00, 90.00, 90.00 degrees
With the nearest neighbours (Å) after each atom.
Positions (direct):
1 B 0.5000 0.0000 0.1309  2 C 1.62
2 B 0.0000 0.0000 0.9178  2 C 1.58
3 B 0.5000 0.5000 0.6309  2 C 1.62
4 B 0.0000 0.5000 0.4178  2 C 1.58
5 C 0.5000 0.0000 0.7745  4 B 1.58-1.62
6 C 0.5000 0.5000 0.2745  4 B 1.58-1.62

***

Material: LiIn2Pb8
Method: DFT, PBE
State: relaxed

Energy relative to the elements ... 0.068 eV/atom
Spin magnetization ... 0.00 Bohr magnetons per cell
Energy above the lowest structure with this stoichiometry ... 0.096 eV/atom
Symmetry ... C2/m (12)

Cell lengths 7.8513, 7.4135, 7.4135 Å; angles 76.06, 63.69, 63.69 degrees
With the nearest neighbours (Å) after each atom.
Positions (direct):
1 Pb 0.8368 0.4374 0.9168  1 Li 2.93, 2 In 3.22-3.24, 1 Pb 3.23
2 Pb 0.7703 0.4172 0.4172  2 In 3.21-3.50, 6 Pb 3.42-3.54
3 Pb 0.1632 0.5626 0.0832  1 Li 2.93, 2 In 3.22-3.24, 1 Pb 3.23
4 Pb 0.2297 0.5828 0.5828  2 In 3.21-3.50, 6 Pb 3.42-3.54
5 Pb 0.2523 0.0924 0.0924  1 Li 2.74
6 Pb 0.8368 0.9168 0.4374  1 Li 2.93, 2 In 3.22-3.24, 1 Pb 3.23
7 Pb 0.1632 0.0832 0.5626  1 Li 2.93, 2 In 3.22-3.24, 1 Pb 3.23
8 Pb 0.7477 0.9076 0.9076  1 Li 2.74
9 In 0.4849 0.7499 0.7499  8 Pb 3.21-3.50, 1 Li 3.24
10 In 0.5151 0.2501 0.2501  8 Pb 3.21-3.50, 1 Li 3.24
11 Li 0.0000 0.0000 0.0000  6 Pb 2.74-2.93

***

Material: AcTb4Pm2Sm
Method: DFT, PBE
State: relaxed

Energy relative to the elements ... 0.418 eV/atom
Spin magnetization ... 3.15 Bohr magnetons per cell
Symmetry ... Imma (74)

Cell lengths 9.6713, 9.6713, 11.9864 Å; angles 128.29, 128.29, 88.43 degrees
With the nearest neighbours (Å) after each atom.
Positions (direct):
1 Tb 0.7414 0.7576 0.5002  3 Pm 3.26-3.48, 2 Sm 3.46, 1 Ac 3.48, 2 Tb 3.49
2 Tb 0.2646 0.7629 0.5136  2 Tb 3.29-3.67, 1 Sm 3.36, 3 Pm 3.39-3.42, 2 Ac 3.51-3.52
3 Tb 0.7354 0.2371 0.4864  2 Tb 3.29-3.67, 1 Sm 3.36, 3 Pm 3.38-3.42, 2 Ac 3.51-3.52
4 Tb 0.2576 0.2414 0.0002  3 Pm 3.26-3.48, 2 Sm 3.46, 1 Ac 3.48, 2 Tb 3.49
5 Tb 0.2586 0.2424 0.4998  3 Pm 3.26-3.48, 2 Sm 3.46, 1 Ac 3.48, 2 Tb 3.49
6 Tb 0.7371 0.2354 0.9864  2 Tb 3.29-3.67, 1 Sm 3.36, 3 Pm 3.38-3.42, 2 Ac 3.51-3.52
7 Tb 0.7424 0.7586 0.9998  3 Pm 3.26-3.48, 2 Sm 3.46, 1 Ac 3.48, 2 Tb 3.49
8 Tb 0.2629 0.7646 0.0136  2 Tb 3.29-3.67, 1 Sm 3.36, 3 Pm 3.38-3.42, 2 Ac 3.51-3.52
9 Pm 0.5000 0.0000 0.0000  6 Tb 3.26-3.42, 2 Ac 3.48
10 Pm 0.5000 0.5000 0.0000  6 Tb 3.38-3.48, 2 Pm 3.48
11 Pm 0.0000 0.0000 0.5000  6 Tb 3.38-3.48, 2 Pm 3.48
12 Pm 0.5000 0.0000 0.5000  6 Tb 3.26-3.42, 2 Ac 3.48
13 Sm 0.5000 0.5000 0.5000  6 Tb 3.36-3.46, 2 Sm 3.48
14 Sm 0.0000 0.0000 0.0000  6 Tb 3.36-3.46, 2 Sm 3.48
15 Ac 0.0000 0.5000 0.5000  6 Tb 3.48-3.52, 2 Pm 3.48
16 Ac 0.0000 0.5000 0.0000  6 Tb 3.48-3.52, 2 Pm 3.48